(1)
Entry from OQMD: CoNiSnHg after structural relaxation (PBE).

Cell lengths 4.455, 4.455, 4.455 Å; angles 60.00, 60.00, 60.00 degrees
Atoms (fractional coordinates):
Co  0.750  0.750  0.750
Hg  0.500  0.500  0.500
Ni  0.250  0.250  0.250
Sn  0.000  0.000  0.000

(2)
Entry from OQMD: TlCoNiHg after structural relaxation (PBE).

Cell lengths 4.507, 4.507, 4.507 Å; angles 60.00, 60.00, 60.00 degrees
Atoms (fractional coordinates):
Co  0.750  0.750  0.750
Hg  0.500  0.500  0.500
Ni  0.250  0.250  0.250
Tl  0.000  0.000  0.000

Number 1: DFT total energy -16.24 eV per cell, distance to the lowest polymorph of the same formula 0 kJ/mol of formula units. Number 2: DFT total energy -13.65 eV per cell, distance to the lowest polymorph of the same formula 0 kJ/mol of formula units.